# Pm2Be4AlPt3

Pm2Be4AlPt3 after structural relaxation (PBE-GGA, the Alexandria database).

```
data_Pm2Be4AlPt3
_chemical_formula_sum 'Pm2 Be4 Al1 Pt3'
_cell_length_a 3.966
_cell_length_b 3.966
_cell_length_c 10.212
_cell_angle_alpha 90.00
_cell_angle_beta 90.00
_cell_angle_gamma 90.00
_space_group_name_H-M_alt 'P -4 m 2'
_space_group_IT_number 115
loop_
_space_group_symop_operation_xyz
'x,y,z'
'y,-x,-z'
'-x,-y,z'
'-y,x,-z'
'-x,y,z'
'-y,-x,-z'
'x,-y,z'
'y,x,-z'
loop_
_atom_site_label
_atom_site_type_symbol
_atom_site_fract_x
_atom_site_fract_y
_atom_site_fract_z
_atom_site_occupancy
Pm1 Pm 0.000 0.500 0.246 1
Be1 Be 0.000 0.000 0.000 1
Be2 Be 0.000 0.500 0.639 1
Be3 Be 0.500 0.500 0.000 1
Al1 Al 0.000 0.000 0.500 1
Pt1 Pt 0.000 0.500 0.880 1
Pt2 Pt 0.500 0.500 0.500 1
```

Computed properties:
Energy of formation ... -0.72 eV per atom
Total DFT energy (no corrections) ... -5.35 eV/atom
Crystal system ... tetragonal